Entry 1:
An optimized crystal structure of ScGe2As2, computed with PBE.

The structure in CIF format:
```
data_ScGe2As2
_chemical_formula_sum 'Sc2 Ge4 As4'
_cell_length_a 7.155
_cell_length_b 7.155
_cell_length_c 4.010
_cell_angle_alpha 90.00
_cell_angle_beta 90.00
_cell_angle_gamma 90.00
_space_group_name_H-M_alt 'P 4/m b m'
_space_group_IT_number 127
_space_group_name_Hall '-P 4 2ab'
loop_
_atom_site_label
_atom_site_fract_x
_atom_site_fract_y
_atom_site_fract_z
Sc1 0.000 0.000 0.000
Ge1 0.200 0.300 0.500
As1 0.135 0.635 0.000
```

Output
As for the raw total energy: -51.46 eV for the cell shown. The value obtained for the theoretical density is 5.5 Mg/m³. The value obtained for the formation energy from the elements is -0.1733 eV per atom.


Entry 2:
An optimized crystal structure of PmPuGa2Pt2, computed with PBE.

The structure in CIF format:
```
data_PmPuGa2Pt2
_chemical_formula_sum 'Pm1 Pu1 Ga2 Pt2'
_cell_length_a 4.4836
_cell_length_b 4.4836
_cell_length_c 7.1777
_cell_angle_alpha 90.00
_cell_angle_beta 90.00
_cell_angle_gamma 120.00
_space_group_name_H-M_alt 'P -3 m 1'
_space_group_IT_number 164
_space_group_name_Hall '-P 3 2"'
loop_
_atom_site_label
_atom_site_fract_x
_atom_site_fract_y
_atom_site_fract_z
Pm1 0.0000 0.0000 0.0000
Pu1 0.0000 0.0000 0.5000
Ga1 0.3333 0.6667 0.2580
Pt1 0.3333 0.6667 0.7397
```

Output
As for the raw total energy: -42.53 eV for the cell shown. The value obtained for the theoretical density is 12.2 Mg/m³. The value obtained for the formation energy from the elements is -0.8847 eV per atom.


Entry 3:
An optimized crystal structure of Ho3Ag2Ru, computed with PBE.

The structure in CIF format:
```
data_Ho3Ag2Ru
_chemical_formula_sum 'Ho3 Ag2 Ru1'
_cell_length_a 3.484
_cell_length_b 3.484
_cell_length_c 10.970
_cell_angle_alpha 90.00
_cell_angle_beta 90.00
_cell_angle_gamma 90.00
_space_group_name_H-M_alt 'P 4/m m m'
_space_group_IT_number 123
_space_group_name_Hall '-P 4 2'
loop_
_atom_site_label
_atom_site_fract_x
_atom_site_fract_y
_atom_site_fract_z
Ho1 0.000 0.000 0.000
Ho2 0.000 0.000 0.350
Ag1 0.500 0.500 0.172
Ru1 0.500 0.500 0.500
```

Output
As for the raw total energy: -31.02 eV for the cell shown. The value obtained for the theoretical density is 10.1 Mg/m³. The value obtained for the excess energy over the best structure of this formula in the dataset is 0.000 eV/atom. The value obtained for the formation energy from the elements is -0.3845 eV per atom.


Entry 4:
An optimized crystal structure of PmAl3AgAu, computed with PBE.

The structure in CIF format:
```
data_PmAl3AgAu
_chemical_formula_sum 'Pm4 Al12 Ag4 Au4'
_cell_length_a 6.158
_cell_length_b 13.187
_cell_length_c 6.003
_cell_angle_alpha 90.00
_cell_angle_beta 90.00
_cell_angle_gamma 90.00
_space_group_name_H-M_alt 'C m c m'
_space_group_IT_number 63
_space_group_name_Hall '-C 2c 2'
loop_
_atom_site_label
_atom_site_fract_x
_atom_site_fract_y
_atom_site_fract_z
Pm1 0.000 0.198 0.250
Al1 0.000 0.364 0.750
Al2 0.208 0.000 0.000
Ag1 0.000 0.413 0.250
Au1 0.000 0.158 0.750
```

Output
As for the raw total energy: -94.05 eV for the cell shown. The value obtained for the theoretical density is 7.2 Mg/m³. The value obtained for the formation energy from the elements is -0.2341 eV per atom.


Entry 5:
An optimized crystal structure of Li2CuMo, computed with PBE.

The structure in CIF format:
```
data_Li2CuMo
_chemical_formula_sum 'Li2 Cu1 Mo1'
_cell_length_a 2.502
_cell_length_b 4.254
_cell_length_c 5.430
_cell_angle_alpha 90.00
_cell_angle_beta 99.15
_cell_angle_gamma 90.00
_space_group_name_H-M_alt 'P 1 m 1'
_space_group_IT_number 6
loop_
_space_group_symop_operation_xyz
'x,y,z'
'x,-y,z'
loop_
_atom_site_label
_atom_site_fract_x
_atom_site_fract_y
_atom_site_fract_z
Li1 0.000 0.000 0.000
Li2 0.288 0.500 0.794
Cu1 0.296 0.000 0.501
Mo1 0.713 0.500 0.316
```

Output
As for the raw total energy: -17.67 eV for the cell shown. The value obtained for the theoretical density is 5.0 Mg/m³. The value obtained for the excess energy over the best structure of this formula in the dataset is 0.073 eV/atom. The value obtained for the formation energy from the elements is 0.2723 eV per atom.


Entry 6:
An optimized crystal structure of ReTc2BSe, computed with PBE.

The structure in CIF format:
```
data_ReTc2BSe
_chemical_formula_sum 'Re1 Tc2 B1 Se1'
_cell_length_a 4.809
_cell_length_b 4.809
_cell_length_c 4.058
_cell_angle_alpha 90.00
_cell_angle_beta 90.00
_cell_angle_gamma 90.00
_space_group_name_H-M_alt 'P 4/m m m'
_space_group_IT_number 123
_space_group_name_Hall '-P 4 2'
loop_
_atom_site_label
_atom_site_fract_x
_atom_site_fract_y
_atom_site_fract_z
Re1 0.000 0.000 0.000
Tc1 0.000 0.500 0.000
B1 0.000 0.000 0.500
Se1 0.500 0.500 0.500
```

Output
As for the raw total energy: -35.76 eV for the cell shown. The value obtained for the theoretical density is 8.4 Mg/m³. The uncorrected formation energy is 7.59 eV/f.u.